Sc4ZnGa2Ru: optimized geometry, PBE.

abc: 4.6851 4.6851 22.9218
angles: 90.00 90.00 120.00
Last column: nearest neighbours and their distance in Å.
Space group R-3m (No. 166, hexagonal axes)
Asymmetric unit:
Sc 0.0000 0.0000 0.1219  1 Ru 2.79, 4 Ga 2.84-2.91, 3 Zn 2.89
Sc 0.0000 0.0000 0.3728  4 Ga 2.84-2.90, 3 Ru 2.85, 1 Zn 2.92
Zn 0.0000 0.0000 0.5000  8 Sc 2.89-2.92
Ga 0.0000 0.0000 0.2488  8 Sc 2.84-2.91
Ru 0.0000 0.0000 0.0000  8 Sc 2.79-2.85

Summary:
* total moment: 0.0 μB per formula unit
* formation energy from the elements: -0.5809 eV per atom
* total DFT energy (no corrections): -5.822 eV/atom

***

La2GaFeI: optimized geometry, PBE.

abc: 5.3520 5.3520 4.6573
angles: 90.00 90.00 90.00
Last column: nearest neighbours and their distance in Å.
Space group P4/mmm (No. 123)
Asymmetric unit:
La 0.0000 0.5000 0.0000  2 Fe 2.68
Ga 0.0000 0.0000 0.5000  2 Fe 2.33
Fe 0.0000 0.0000 0.0000  2 Ga 2.33
I 0.5000 0.5000 0.5000  8 La 3.55, 4 Ga 3.78

Summary:
* total moment: 0.0 μB per formula unit
* raw formation energy: -0.515 eV/atom
* total DFT energy (no corrections): -5.094 eV/atom

***

Ba2In4SnHg3: optimized geometry, PBE.

abc: 5.0279 5.0279 12.0811
angles: 90.00 90.00 90.00
Last column: nearest neighbours and their distance in Å.
Space group P-4m2 (No. 115)
Asymmetric unit:
Ba 0.0000 0.5000 0.2471  8 In 3.81-3.96, 6 Hg 3.84-3.90, 2 Sn 3.90
In 0.0000 0.0000 0.5000  4 Hg 2.98
In 0.0000 0.5000 0.8665  3 Hg 2.83-2.99, 2 Sn 2.99
In 0.5000 0.5000 0.5000  4 Hg 2.98
Sn 0.5000 0.5000 0.0000  4 In 2.99
Hg 0.0000 0.0000 0.0000  4 In 2.99
Hg 0.0000 0.5000 0.6324  5 In 2.83-2.98

Summary:
* total moment: 0.0 μB per formula unit
* formation energy from the elements: -0.3805 eV per atom
* total DFT energy (no corrections): -2.351 eV/atom

***

Na2CrCS: optimized geometry, PBE.

abc: 4.7295 4.7295 3.8763
angles: 90.00 90.00 90.00
Last column: nearest neighbours and their distance in Å.
Space group P4/mmm (No. 123)
Asymmetric unit:
Na 0.0000 0.5000 0.0000  2 C 2.36
Cr 0.0000 0.0000 0.5000  2 C 1.94
C 0.0000 0.0000 0.0000  2 Cr 1.94
S 0.5000 0.5000 0.5000  8 Na 3.06, 4 Cr 3.34

Summary:
* total moment: 2.0 μB per formula unit
* raw formation energy: 0.300 eV/atom
* total DFT energy (no corrections): -4.823 eV/atom

***

Be2ZnP: optimized geometry, PBE.

abc: 2.9921 2.9921 5.7141
angles: 90.00 90.00 90.00
Last column: nearest neighbours and their distance in Å.
Space group P4mm (No. 99)
Asymmetric unit:
Be 0.0000 0.0000 0.0000  1 P 2.16
Be 0.5000 0.5000 0.2338  4 P 2.27, 4 Be 2.50
Zn 0.5000 0.5000 0.7890  5 Be 2.44-2.54
P 0.0000 0.0000 0.3773  5 Be 2.16-2.27

Summary:
* excess energy over the best structure of this formula in the dataset: 117 meV per atom
* total moment: 0.0 μB per formula unit
* formation energy from the elements: 0.3444 eV per atom
* total DFT energy (no corrections): -3.190 eV/atom

***

YSc2Ag: optimized geometry, PBE.

abc: 6.5076 8.6406 3.4493
angles: 90.00 90.00 90.00
Last column: nearest neighbours and their distance in Å.
Space group Cmmm (No. 65)
Asymmetric unit:
Y 0.0000 0.0000 0.0000  8 Sc 3.21, 2 Ag 3.25, 2 Y 3.45
Sc 0.2500 0.2500 0.5000  4 Y 3.21, 4 Ag 3.21, 4 Sc 3.25-3.45
Ag 0.0000 0.5000 0.0000  8 Sc 3.21, 2 Y 3.25, 2 Ag 3.45

Summary:
* excess energy over the best structure of this formula in the dataset: 167 meV per atom
* total moment: 0.0 μB per formula unit
* formation energy from the elements: 0.0522 eV per atom
* total DFT energy (no corrections): -5.442 eV/atom

***

LaAs2Pd: optimized geometry, PBE.

abc: 6.9752 6.9752 6.9752
angles: 90.00 90.00 90.00
Last column: nearest neighbours and their distance in Å.
Space group Fm-3m (No. 225)
Asymmetric unit:
La 0.0000 0.0000 0.0000  8 As 3.02
As 0.2500 0.2500 0.2500  4 La 3.02, 4 Pd 3.02
Pd 0.0000 0.0000 0.5000  8 As 3.02

Summary:
* total moment: 0.0 μB per formula unit
* formation energy from the elements: -0.5912 eV per atom
* total DFT energy (no corrections): -5.446 eV/atom

***

Cd4ReHg: optimized geometry, PBE.

abc: 7.9593 7.9593 7.9593
angles: 90.00 90.00 90.00
Last column: nearest neighbours and their distance in Å.
Space group F-43m (No. 216)
Asymmetric unit:
Cd 0.1244 0.1244 0.3756  6 Cd 2.80-2.83
Re 0.2500 0.2500 0.7500  12 Cd 3.30, 4 Hg 3.45
Hg 0.0000 0.0000 0.0000  12 Cd 3.30, 4 Re 3.45

Summary:
* total moment: 2.1 μB per formula unit
* formation energy from the elements: 0.7906 eV per atom
* total DFT energy (no corrections): -1.945 eV/atom

***

Pm4In2O: optimized geometry, PBE.

abc: 5.1411 23.4849 3.5295
angles: 90.00 90.00 90.00
Last column: nearest neighbours and their distance in Å.
Space group Cmmm (No. 65)
Asymmetric unit:
Pm 0.0000 0.0695 0.0000  2 O 2.40
Pm 0.0000 0.2023 0.5000  4 In 3.27, 6 Pm 3.41-3.58
In 0.0000 0.3402 0.0000  6 Pm 3.27-3.33, 2 In 3.53
O 0.0000 0.0000 0.5000  4 Pm 2.40

Summary:
* excess energy over the best structure of this formula in the dataset: 258 meV per atom
* total moment: 0.0 μB per formula unit
* raw formation energy: -0.808 eV/atom
* total DFT energy (no corrections): -5.014 eV/atom

***

RhC3Se: optimized geometry, PBE.

abc: 4.0216 4.0216 4.0216
angles: 90.00 90.00 90.00
Last column: nearest neighbours and their distance in Å.
Space group Pm-3m (No. 221)
Asymmetric unit:
Rh 0.0000 0.0000 0.0000  6 C 2.01
C 0.0000 0.0000 0.5000  2 Rh 2.01
Se 0.5000 0.5000 0.5000  12 C 2.84

Summary:
* excess energy over the best structure of this formula in the dataset: 0 meV per atom
* total moment: 0.0 μB per formula unit
* raw formation energy: 2.305 eV/atom
* total DFT energy (no corrections): -5.396 eV/atom

***

InSnPbAu2: optimized geometry, PBE.

abc: 15.0825 4.6238 8.4537
angles: 90.00 118.94 90.00
Last column: nearest neighbours and their distance in Å.
Space group C2/m (No. 12)
Asymmetric unit:
In 0.0556 0.0000 0.2375  4 Au 2.85-2.86
Sn 0.1214 0.5000 0.8128  5 Au 2.81-2.97
Pb 0.2471 0.5000 0.3141  5 Au 3.12-3.24
Au 0.0910 0.5000 0.4565  2 Sn 2.82-2.90, 2 In 2.85, 1 Pb 3.12
Au 0.1548 0.0000 0.0241  3 Sn 2.81-2.97, 2 In 2.85-2.86

Summary:
* total moment: 0.0 μB per formula unit
* formation energy from the elements: -0.1356 eV per atom
* total DFT energy (no corrections): -3.536 eV/atom

***

RbTaOs3: optimized geometry, PBE.

abc: 4.6327 4.6327 4.6327
angles: 90.00 90.00 90.00
Last column: nearest neighbours and their distance in Å.
Space group Pm-3m (No. 221)
Asymmetric unit:
Rb 0.0000 0.0000 0.0000  6 Os 2.32
Ta 0.5000 0.5000 0.5000  12 Os 3.28
Os 0.0000 0.0000 0.5000  2 Rb 2.32

Summary:
* excess energy over the best structure of this formula in the dataset: 1730 meV per atom
* total moment: 0.0 μB per formula unit
* formation energy from the elements: 3.8223 eV per atom
* total DFT energy (no corrections): -5.480 eV/atom

***

PuSc2UP4: optimized geometry, PBE.

abc: 6.6643 3.8661 6.6935
angles: 90.00 109.52 90.00
Last column: nearest neighbours and their distance in Å.
Space group P2/m (No. 10)
Asymmetric unit:
Pu 0.0000 0.0000 0.0000  6 P 2.78
Sc 0.5000 0.0000 0.5000  6 P 2.67-2.68
Sc 0.5000 0.5000 0.0000  6 P 2.70-2.71
U 0.0000 0.5000 0.5000  6 P 2.75-2.76
P 0.2602 0.5000 0.2565  3 Sc 2.68-2.71, 1 U 2.75, 2 Pu 2.78
P 0.2610 0.0000 0.7509  3 Sc 2.67-2.70, 2 U 2.76, 1 Pu 2.78

Summary:
* total moment: 7.0 μB per formula unit
* formation energy from the elements: -1.2813 eV per atom
* total DFT energy (no corrections): -8.772 eV/atom

***

MgBiH: optimized geometry, PBE.

abc: 7.8774 7.2876 4.6662
angles: 90.00 90.00 90.00
Last column: nearest neighbours and their distance in Å.
Space group Pnma (No. 62)
Asymmetric unit:
Mg 0.0000 0.0000 0.0000  2 H 2.24
Bi 0.1889 0.2500 0.3983  1 H 1.92
H 0.0469 0.2500 0.7322  1 Bi 1.92

Summary:
* excess energy over the best structure of this formula in the dataset: 192 meV per atom
* total moment: 0.0 μB per formula unit
* total DFT energy (no corrections): -2.819 eV/atom

***

Li2Pr2In: optimized geometry, PBE.

abc: 11.0280 6.7895 7.7796
angles: 90.00 111.61 90.00
Last column: nearest neighbours and their distance in Å.
Space group C2/c (No. 15)
Asymmetric unit:
Li 0.0688 0.1308 0.4410  2 Li 2.71-2.80, 2 In 2.87-2.88
Pr 0.1925 0.4234 0.1549  5 Li 3.29-3.61, 3 In 3.32-3.38
In 0.0000 0.2406 0.7500  4 Li 2.87-2.88

Summary:
* total moment: 0.0 μB per formula unit
* formation energy from the elements: -0.1545 eV per atom
* total DFT energy (no corrections): -3.379 eV/atom

***

HfCuTeO6: optimized geometry, PBE.

abc: 5.3132 5.3132 8.9526
angles: 90.00 90.00 120.00
Last column: nearest neighbours and their distance in Å.
Space group P-31c (No. 163)
Asymmetric unit:
Hf 0.3333 0.6667 0.2500  6 O 2.09
Cu 0.0000 0.0000 0.0000  6 O 2.21
Te 0.3333 0.6667 0.7500  6 O 1.96
O 0.0190 0.3603 0.6315  1 Te 1.96, 1 Hf 2.09

Summary:
* total moment: 1.0 μB per formula unit
* raw formation energy: -1.552 eV/atom
* total DFT energy (no corrections): -6.768 eV/atom

***

PmPrSb2: optimized geometry, PBE.

abc: 5.8579 5.8579 3.3978
angles: 90.00 90.00 90.00
Last column: nearest neighbours and their distance in Å.
Space group P4/mmm (No. 123)
Asymmetric unit:
Pm 0.0000 0.0000 0.0000  8 Sb 3.39, 2 Pm 3.40
Pr 0.5000 0.5000 0.0000  8 Sb 3.39, 2 Pr 3.40
Sb 0.0000 0.5000 0.5000  4 Pr 3.39, 4 Pm 3.39, 2 Sb 3.40

Summary:
* excess energy over the best structure of this formula in the dataset: 255 meV per atom
* total moment: 0.0 μB per formula unit
* raw formation energy: -0.935 eV/atom
* total DFT energy (no corrections): -5.378 eV/atom

***

Er2Zn2Hg: optimized geometry, PBE.

abc: 10.8173 4.5249 10.1414
angles: 90.00 115.32 90.00
Last column: nearest neighbours and their distance in Å.
Space group C2/m (No. 12)
Asymmetric unit:
Er 0.0185 0.0000 0.3329  6 Zn 3.06-3.14, 4 Hg 3.16-3.30
Er 0.1831 0.0000 0.0957  6 Zn 3.02-3.29, 2 Hg 3.21
Zn 0.0311 0.5000 0.8874  1 Zn 2.64, 1 Hg 2.75
Zn 0.1272 0.5000 0.5703  1 Zn 2.50, 2 Hg 2.69
Hg 0.2274 0.5000 0.3366  4 Zn 2.69-3.00

Summary:
* total moment: 0.0 μB per formula unit
* formation energy from the elements: -0.3336 eV per atom
* total DFT energy (no corrections): -2.729 eV/atom

***

MoSe3: optimized geometry, PBE.

abc: 8.6152 8.6152 5.6837
angles: 90.00 90.00 120.00
Last column: nearest neighbours and their distance in Å.
Space group P6_3/mmc (No. 194)
Asymmetric unit:
Mo 0.0000 0.0000 0.0000  6 Se 2.53
Mo 0.3333 0.6667 0.2500  6 Se 2.86
Se 0.0000 0.5000 0.0000  6 Se 2.84-3.05, 2 Mo 2.86
Se 0.1405 0.2810 0.7500  2 Mo 2.53

Summary:
* total moment: 1.7 μB per formula unit
* raw formation energy: 0.302 eV/atom
* total DFT energy (no corrections): -5.019 eV/atom

***

Al2Zn2Rh: optimized geometry, PBE.

abc: 6.5609 6.5609 3.6515
angles: 90.00 90.00 90.00
Last column: nearest neighbours and their distance in Å.
Space group P4/mbm (No. 127)
Asymmetric unit:
Al 0.1472 0.3528 0.0000  2 Rh 2.51, 6 Zn 2.59-2.69, 1 Al 2.73
Zn 0.1547 0.6547 0.5000  6 Al 2.59-2.69, 1 Zn 2.87
Rh 0.0000 0.0000 0.0000  4 Al 2.51

Summary:
* excess energy over the best structure of this formula in the dataset: 0 meV per atom
* total moment: 0.0 μB per formula unit
* formation energy from the elements: -0.0884 eV per atom
* total DFT energy (no corrections): -3.565 eV/atom

***

HfTl2Pb: optimized geometry, PBE.

abc: 8.5212 8.5212 6.1570
angles: 90.00 90.00 90.00
Last column: nearest neighbours and their distance in Å.
Space group I-42d (No. 122)
Asymmetric unit:
Hf 0.0000 0.0000 0.0000  4 Tl 2.99, 2 Pb 3.08
Tl 0.2292 0.2500 0.1250  2 Hf 2.99, 2 Tl 3.10, 2 Pb 3.23
Pb 0.0000 0.0000 0.5000  2 Hf 3.08, 4 Tl 3.23

Summary:
* excess energy over the best structure of this formula in the dataset: 57 meV per atom
* total moment: 0.0 μB per formula unit
* formation energy from the elements: 0.3938 eV per atom
* total DFT energy (no corrections): -4.205 eV/atom

***

NaSn: optimized geometry, PBE.

abc: 13.1595 13.1595 4.4625
angles: 90.00 90.00 90.00
Last column: nearest neighbours and their distance in Å.
Space group I4/m (No. 87)
Asymmetric unit:
Na 0.0465 0.7001 0.0000  4 Sn 3.11-3.35
Sn 0.1889 0.2759 0.0000  2 Sn 2.83, 1 Na 3.11

Summary:
* total moment: 0.0 μB per formula unit
* formation energy from the elements: 0.0257 eV per atom
* total DFT energy (no corrections): -2.635 eV/atom

***

CrTcTe2N: optimized geometry, PBE.

abc: 5.2892 5.2892 3.5016
angles: 90.00 90.00 90.00
Last column: nearest neighbours and their distance in Å.
Space group P4/mmm (No. 123)
Asymmetric unit:
Cr 0.0000 0.0000 0.0000  2 N 1.75
Tc 0.5000 0.5000 0.5000  8 Te 3.17, 2 Tc 3.50
Te 0.0000 0.5000 0.0000  2 Cr 2.64
N 0.0000 0.0000 0.5000  2 Cr 1.75

Summary:
* excess energy over the best structure of this formula in the dataset: 0 meV per atom
* total moment: 4.2 μB per formula unit
* raw formation energy: 0.591 eV/atom
* total DFT energy (no corrections): -6.328 eV/atom

***

NdPa2S5: optimized geometry, PBE.

abc: 7.3830 7.3830 12.8186
angles: 90.00 90.00 90.00
Last column: nearest neighbours and their distance in Å.
Space group I4/mcm (No. 140)
Asymmetric unit:
Nd 0.0000 0.0000 0.2500  10 S 3.11-3.20
Pa 0.1532 0.3468 0.0000  8 S 2.71-2.93
S 0.0000 0.0000 0.0000  4 Pa 2.80
S 0.1560 0.3440 0.3566  3 Pa 2.71-2.93

Summary:
* total moment: 2.9 μB per formula unit
* raw formation energy: -1.700 eV/atom
* total DFT energy (no corrections): -7.249 eV/atom